Below is Cd4Ag5Hg2 after structural relaxation, with properties calculated at the PBE level.

Computed properties:
Mass density   10342 kg/m³
Calculated volume   20.29 Å³ per atom
Magnetization   0.0000 μB per atom
Energy of formation from the pure elements   -0.007 eV per atom

a b c (Å): 7.823 18.253 3.126
angles (deg): 90.00 90.00 90.00
Space group Pbam (No. 55)
Asymmetric unit:
Cd 0.112 0.139 0.000 (multiplicity 4)
Cd 0.212 0.439 0.000 (multiplicity 4)
Ag 0.000 0.000 0.500 (multiplicity 2)
Ag 0.118 0.566 0.500 (multiplicity 4)
Ag 0.187 0.811 0.500 (multiplicity 4)
Hg 0.011 0.700 0.000 (multiplicity 4)



Below is CdAg2Hg2 after structural relaxation, with properties calculated at the PBE level.

Computed properties:
Mass density   11139 kg/m³
Energy above the most stable polymorph in this dataset   0.0448 eV per atom
Calculated volume   21.74 Å³ per atom
Magnetization   0.0000 μB per atom
Energy of formation from the pure elements   0.087 eV per atom

a b c (Å): 7.772 7.772 3.600
angles (deg): 90.00 90.00 90.00
Space group P4/mbm (No. 127)
Asymmetric unit:
Cd 0.000 0.000 0.000 (multiplicity 2)
Ag 0.134 0.366 0.000 (multiplicity 4)
Hg 0.165 0.665 0.500 (multiplicity 4)



Below is Cd3Ag6Hg after structural relaxation, with properties calculated at the PBE level.

Computed properties:
Mass density   9788 kg/m³
Energy above the most stable polymorph in this dataset   0.0637 eV per atom
Calculated volume   20.10 Å³ per atom
Magnetization   0.0000 μB per atom
Energy of formation from the pure elements   0.051 eV per atom

a b c (Å): 9.420 16.497 5.175
angles (deg): 90.00 90.00 90.00
Space group Cmc2_1 (No. 36)
Asymmetric unit:
Cd 0.000 0.099 0.000 (multiplicity 4)
Cd 0.169 0.405 0.604 (multiplicity 8)
Ag 0.000 0.200 0.435 (multiplicity 4)
Ag 0.000 0.449 0.129 (multiplicity 4)
Ag 0.163 0.052 0.548 (multiplicity 8)
Ag 0.246 0.289 0.231 (multiplicity 8)
Hg 0.000 0.287 0.922 (multiplicity 4)



Below is Cd5Ag4Hg2 after structural relaxation, with properties calculated at the PBE level.

Computed properties:
Mass density   9653 kg/m³
Energy above the most stable polymorph in this dataset   0.0441 eV per atom
Calculated volume   21.81 Å³ per atom
Magnetization   0.0000 μB per atom
Energy of formation from the pure elements   0.052 eV per atom

a b c (Å): 12.816 5.664 8.491
angles (deg): 90.00 128.88 90.00
Space group C2/m (No. 12)
Asymmetric unit:
Cd 0.000 0.000 0.000 (multiplicity 2)
Cd 0.001 0.250 0.679 (multiplicity 8)
Ag 0.244 0.000 0.062 (multiplicity 4)
Ag 0.244 0.000 0.407 (multiplicity 4)
Hg 0.188 0.500 0.199 (multiplicity 4)



Below is Cd2Ag3Hg2 after structural relaxation, with properties calculated at the PBE level.

Computed properties:
Mass density   11068 kg/m³
Calculated volume   20.35 Å³ per atom
Magnetization   0.0000 μB per atom
Energy of formation from the pure elements   0.044 eV per atom

a b c (Å): 8.050 5.115 7.770
angles (deg): 90.00 117.04 90.00
Space group C2/m (No. 12)
Asymmetric unit:
Cd 0.213 0.000 0.135 (multiplicity 4)
Ag 0.000 0.500 0.000 (multiplicity 2)
Ag 0.072 0.000 0.718 (multiplicity 4)
Hg 0.142 0.500 0.420 (multiplicity 4)



Below is Cd5Ag5Hg2 after structural relaxation, with properties calculated at the PBE level.

Computed properties:
Mass density   10356 kg/m³
Calculated volume   20.08 Å³ per atom
Magnetization   0.0000 μB per atom
Energy of formation from the pure elements   -0.005 eV per atom

a b c (Å): 12.820 4.376 9.609
angles (deg): 90.00 116.63 90.00
Space group C2/m (No. 12)
Asymmetric unit:
Cd 0.000 0.000 0.000 (multiplicity 2)
Cd 0.093 0.000 0.757 (multiplicity 4)
Cd 0.164 0.000 0.501 (multiplicity 4)
Ag 0.000 0.500 0.500 (multiplicity 2)
Ag 0.169 0.500 0.998 (multiplicity 4)
Ag 0.249 0.500 0.751 (multiplicity 4)
Hg 0.084 0.500 0.247 (multiplicity 4)



Below is Cd3Ag3Hg after structural relaxation, with properties calculated at the PBE level.

Computed properties:
Mass density   9505 kg/m³
Energy above the most stable polymorph in this dataset   0.0000 eV per atom
Calculated volume   21.50 Å³ per atom
Magnetization   0.0000 μB per atom
Energy of formation from the pure elements   0.027 eV per atom

a b c (Å): 7.512 8.869 9.035
angles (deg): 90.00 90.00 90.00
Space group Cmmm (No. 65)
Asymmetric unit:
Cd 0.000 0.000 0.239 (multiplicity 4)
Cd 0.250 0.250 0.242 (multiplicity 8)
Ag 0.000 0.211 0.500 (multiplicity 4)
Ag 0.000 0.222 0.000 (multiplicity 4)
Ag 0.201 0.500 0.000 (multiplicity 4)
Hg 0.195 0.500 0.500 (multiplicity 4)



Below is Cd6Ag8Hg after structural relaxation, with properties calculated at the PBE level.

Computed properties:
Mass density   9273 kg/m³
Calculated volume   20.75 Å³ per atom
Magnetization   0.0000 μB per atom
Energy of formation from the pure elements   0.054 eV per atom

a b c (Å): 8.0590 8.0590 16.5998
angles (deg): 90.00 90.00 120.00
Space group R-3 (No. 148, hexagonal axes)
Asymmetric unit:
Cd 0.0235 0.2442 0.3947 (multiplicity 18)
Ag 0.0000 0.0000 0.2436 (multiplicity 6)
Ag 0.0181 0.2738 0.8862 (multiplicity 18)
Hg 0.0000 0.0000 0.0000 (multiplicity 3)



Question: Which value of calculated volume does entry 2 give?
Answer: 21.74 Å³ per atom



Please write out number 1 again, unchanged.
Below is Cd4Ag5Hg2 after structural relaxation, with properties calculated at the PBE level.

Computed properties:
Mass density   10342 kg/m³
Calculated volume   20.29 Å³ per atom
Magnetization   0.0000 μB per atom
Energy of formation from the pure elements   -0.007 eV per atom

a b c (Å): 7.823 18.253 3.126
angles (deg): 90.00 90.00 90.00
Space group Pbam (No. 55)
Asymmetric unit:
Cd 0.112 0.139 0.000 (multiplicity 4)
Cd 0.212 0.439 0.000 (multiplicity 4)
Ag 0.000 0.000 0.500 (multiplicity 2)
Ag 0.118 0.566 0.500 (multiplicity 4)
Ag 0.187 0.811 0.500 (multiplicity 4)
Hg 0.011 0.700 0.000 (multiplicity 4)



Question: The lowest calculated volume belongs to which entry?
Answer: Cd5Ag5Hg2